# LiV2O5

An optimized crystal structure of LiV2O5 (PBE+U, Alexandria).

Mass density = 3.0 g/cm3
Calculated volume = 105.6 Å³/f.u.
N(E_F) = 0.0566 states/eV/atom
Relative energy among the computed polymorphs = 57 meV/atom

```
data_LiV2O5
_symmetry_space_group_name_H-M 'C m c m'
_symmetry_Int_Tables_number 63
_symmetry_space_group_name_Hall '-C 2c 2'
_cell_length_a 3.6603
_cell_length_b 10.0844
_cell_length_c 11.4420
_cell_angle_alpha 90.00
_cell_angle_beta 90.00
_cell_angle_gamma 90.00
loop_
_atom_site_label
_atom_site_type_symbol
_atom_site_fract_x
_atom_site_fract_y
_atom_site_fract_z
Li1 Li 0.0000 0.0967 0.2500
V1 V 0.0000 0.2062 0.6018
O1 O 0.0000 0.0464 0.6264
O2 O 0.0000 0.2395 0.0709
O3 O 0.0000 0.2847 0.7500
```